[1]
DFT (PBE-GGA) results for an optimized crystal structure of K2BiP.

The structure belongs to space group I-42d (No. 122); the cell edges are 12.438, 12.438 and 5.456 Å and the angles 90.00°, 90.00° and 90.00°. The inequivalent atoms are K at (0.033, 0.250, 0.125), Bi at (0.000, 0.000, 0.500) and P at (0.000, 0.000, 0.000).

As for the energy of formation: -0.059 eV/atom. The volume is 844.0 Å³/cell. For the excess energy over the best structure of this formula in the dataset, the calculation gives 0.0000 eV/atom.


[2]
DFT (PBE-GGA) results for an optimized crystal structure of Mg2TaNiSe.

The structure belongs to space group P4/mmm (No. 123); the cell edges are 5.467, 5.467 and 4.458 Å and the angles 90.00°, 90.00° and 90.00°. The inequivalent atoms are Mg at (0.000, 0.500, 0.000), Ta at (0.000, 0.000, 0.000), Ni at (0.000, 0.000, 0.500) and Se at (0.500, 0.500, 0.500).

The uncorrected formation energy is 6.03 eV/f.u. The volume is 133.2 Å³/cell.


[3]
DFT (PBE-GGA) results for an optimized crystal structure of RbBiBr3.

The structure belongs to space group Pm-3m (No. 221); the cell edges are 5.930, 5.930 and 5.930 Å and the angles 90.00°, 90.00° and 90.00°. The inequivalent atoms are Rb at (0.000, 0.000, 0.000), Bi at (0.500, 0.500, 0.500) and Br at (0.000, 0.500, 0.500).

The uncorrected formation energy is -4.92 eV/f.u. The volume is 208.5 Å³/cell. For the excess energy over the best structure of this formula in the dataset, the calculation gives 0.0000 eV/atom.